An optimized crystal structure of Nd2Dy3Cd. Source: Alexandria via LeMat-Bulk, functional GGA-PBE.

POSCAR file:
```
Nd2Dy3Cd
1.0
-1.060 -3.452 0.204
3.096 -1.043 -1.552
6.048 -1.100 12.803
Nd Dy Cd
2 3 1
Direct
0.500 0.500 0.820 Nd
0.500 0.500 0.180 Nd
0.000 0.000 0.000 Dy
0.000 0.000 0.643 Dy
0.000 0.000 0.357 Dy
0.500 0.500 0.500 Cd
```

Calculated values
ΔE_f   -9.4 kJ per mole of atoms
Space group   P4/mmm, No. 123

---

An optimized crystal structure of BaZrW3. Source: Alexandria via LeMat-Bulk, functional GGA-PBE.

POSCAR file:
```
BaZrW3
1.0
5.042 0.000 0.000
0.000 5.042 0.000
0.000 0.000 5.042
Zr Ba W
1 1 3
Direct
0.000 0.000 0.000 Zr
0.500 0.500 0.500 Ba
0.000 0.500 0.000 W
0.000 0.000 0.500 W
0.500 0.000 0.000 W
```

Calculated values
ΔE_f   212.7 kJ per mole of atoms
Space group   Pm-3m, No. 221

---

An optimized crystal structure of TaZnNiRh. Source: Alexandria via LeMat-Bulk, functional GGA-PBE.

POSCAR file:
```
TaZnNiRh
1.0
4.326 0.000 0.000
2.163 3.746 0.000
2.163 1.249 3.532
Ni Zn Rh Ta
1 1 1 1
Direct
0.500 0.500 0.500 Ni
0.250 0.250 0.250 Zn
0.000 0.000 0.000 Rh
0.750 0.750 0.750 Ta
```

Calculated values
ΔE_f   -33.2 kJ per mole of atoms
Space group   F-43m, No. 216

---

An optimized crystal structure of CrAuCl2. Source: Alexandria via LeMat-Bulk, functional GGA-PBE.

POSCAR file:
```
CrAuCl2
1.0
0.000 3.395 3.395
3.395 0.000 3.395
3.395 3.395 0.000
Cr Au Cl
1 1 2
Direct
0.000 0.000 0.000 Cr
0.500 0.500 0.500 Au
0.250 0.250 0.250 Cl
0.750 0.750 0.750 Cl
```

Calculated values
Formation energy (no corrections)   0.15 eV/atom
Space group   Fm-3m, No. 225

---

An optimized crystal structure of LiGa2Pb. Source: Alexandria via LeMat-Bulk, functional GGA-PBE.

POSCAR file:
```
LiGa2Pb
1.0
4.013 -0.018 0.041
1.970 4.831 0.012
2.013 1.128 8.742
Li Ga Pb
2 4 2
Direct
0.744 0.893 0.275 Li
0.991 0.748 0.946 Li
0.294 0.593 0.473 Ga
0.006 0.283 0.359 Ga
0.233 0.125 0.074 Ga
0.494 0.527 0.156 Ga
0.523 0.974 0.618 Pb
0.750 0.350 0.824 Pb
```

Calculated values
ΔE_f   -10.0 kJ per mole of atoms
Space group   P1, No. 1

---

An optimized crystal structure of Al5IrRh4. Source: Alexandria via LeMat-Bulk, functional GGA-PBE.

POSCAR file:
```
Al5IrRh4
1.0
-1.210 -0.105 -2.746
0.947 -2.833 -0.309
-12.933 -4.964 5.891
Al Ir Rh
5 1 4
Direct
0.500 0.500 0.102 Al
0.500 0.500 0.301 Al
0.500 0.500 0.500 Al
0.500 0.500 0.699 Al
0.500 0.500 0.898 Al
0.000 0.000 0.000 Ir
0.000 0.000 0.201 Rh
0.000 0.000 0.400 Rh
0.000 0.000 0.600 Rh
0.000 0.000 0.799 Rh
```

Calculated values
ΔE_f   -102.7 kJ per mole of atoms
Space group   P4/mmm, No. 123

---

no.,total magnetization (Bohr magnetons per cell),DOS(E_F) (states/eV/f.u.),VASP energy (eV per atom)
1,0.0,7.38,-4.140
2,0.0,3.92,-7.661
3,0.0,4.07,-6.909
4,4.8,2.96,-3.998
5,0.0,1.11,-3.023
6,0.0,3.00,-6.762